No. 1
# NbGa2Ir2

NbGa2Ir2 after structural relaxation (PBE, Alexandria).

Summary:
* crystal system: tetragonal
* energy of formation: -0.352 eV per atom

Geometry as POSCAR:
```
NbGa2Ir2
1.0
7.363 0.000 0.000
0.000 7.363 0.000
0.000 0.000 2.835
Nb Ga Ir
2 4 4
direct
0.000 0.000 0.000
0.500 0.500 0.000
0.128 0.372 0.000
0.372 0.872 0.000
0.628 0.128 0.000
0.872 0.628 0.000
0.171 0.671 0.500
0.329 0.171 0.500
0.671 0.829 0.500
0.829 0.329 0.500
```

No. 2
# NbGaIr2

NbGaIr2 after structural relaxation (PBE, Alexandria).

Summary:
* crystal system: tetragonal
* energy of formation: 0.377 eV per atom

Geometry as POSCAR:
```
NbGaIr2
1.0
5.896 0.000 0.000
0.000 5.896 0.000
0.000 0.000 10.466
Nb Ga Ir
4 4 8
direct
0.000 0.000 0.000
0.000 0.500 0.250
0.500 0.000 0.750
0.500 0.500 0.500
0.000 0.000 0.500
0.000 0.500 0.750
0.500 0.000 0.250
0.500 0.500 0.000
0.244 0.250 0.625
0.250 0.744 0.875
0.250 0.756 0.375
0.256 0.250 0.125
0.744 0.750 0.125
0.750 0.244 0.375
0.750 0.256 0.875
0.756 0.750 0.625
```

No. 3
# Nb2Ga4Ir

Nb2Ga4Ir after structural relaxation (PBE, Alexandria).

Summary:
* crystal system: monoclinic
* energy of formation: -0.168 eV per atom

Geometry as POSCAR:
```
Nb2Ga4Ir
1.0
14.431 0.000 0.000
0.000 2.952 0.000
-2.451 0.000 5.561
Nb Ga Ir
4 8 2
direct
0.228 0.000 0.233
0.272 0.500 0.767
0.728 0.500 0.233
0.772 0.000 0.767
0.092 0.500 0.365
0.107 0.000 0.758
0.393 0.500 0.242
0.408 0.000 0.635
0.592 0.000 0.365
0.607 0.500 0.758
0.893 0.000 0.242
0.908 0.500 0.635
0.000 0.000 0.000
0.500 0.500 0.000
```

No. 4
# NbGa2Ir2

NbGa2Ir2 after structural relaxation (PBE, Alexandria).

Summary:
* crystal system: orthorhombic
* energy of formation: -0.410 eV per atom

Geometry as POSCAR:
```
NbGa2Ir2
1.0
2.873 0.000 0.000
0.000 19.084 0.000
0.000 0.000 2.937
Nb Ga Ir
2 4 4
direct
0.000 0.000 0.000
0.500 0.500 0.000
0.000 0.187 0.000
0.000 0.813 0.000
0.500 0.313 0.000
0.500 0.687 0.000
0.000 0.399 0.500
0.000 0.601 0.500
0.500 0.101 0.500
0.500 0.899 0.500
```

no.,N(E_F) (states/eV per atom)
1,0.944
2,0.193
3,0.505
4,0.491